1.
Material: TlPt2Au
Method: DFT, PBE
State: optimized geometry

Output
V (Å³/atom): 18.16
Calculated total energy (eV/atom): -4.3169
Space-group type: Pmm2

Lattice parameters (Å, degrees): 2.976 4.207 5.803 90.00 90.00 90.00
Atoms (fractional coordinates):
Pt1 0.000 0.000 0.992
Pt2 0.500 0.500 0.251
Au1 0.500 0.500 0.772
Tl1 0.000 0.000 0.486


2.
Material: Se3IN
Method: DFT, PBE
State: optimized geometry

Output
Relative energy among the computed polymorphs (meV per atom): 729.8
V (Å³/atom): 32.93
Energy relative to the elements, uncorrected (eV per atom): 1.823
Calculated total energy (eV/atom): -2.2425
Space-group type: Pm-3m

Lattice parameters (Å, degrees): 5.481 5.481 5.481 90.00 90.00 90.00
Atoms (fractional coordinates):
Se1 0.000 0.500 0.000
Se2 0.500 0.000 0.000
Se3 0.000 0.000 0.500
N1 0.500 0.500 0.500
I1 0.000 0.000 0.000


3.
Material: Er4TmAgSe8
Method: DFT, PBE
State: optimized geometry

Output
V (Å³/atom): 29.05
Energy relative to the elements, uncorrected (eV per atom): -1.642
Calculated total energy (eV/atom): -5.4600
Space-group type: R3m

Lattice parameters (Å, degrees): 8.320 8.320 8.311 59.96 59.96 60.00
Atoms (fractional coordinates):
Se1 0.758 0.758 0.725
Se2 0.243 0.243 0.744
Se3 0.759 0.224 0.257
Se4 0.771 0.243 0.744
Se5 0.243 0.771 0.744
Se6 0.243 0.243 0.271
Se7 0.224 0.759 0.257
Se8 0.759 0.759 0.257
Er1 0.485 0.005 0.505
Er2 0.625 0.625 0.126
Er3 0.005 0.485 0.505
Er4 0.005 0.005 0.505
Tm1 0.005 0.005 0.985
Ag1 0.375 0.375 0.875


4.
Material: Al8Ga2Tc
Method: DFT, PBE
State: optimized geometry

Output
V (Å³/atom): 16.71
Calculated total energy (eV/atom): -4.3024
Space-group type: Immm

Lattice parameters (Å, degrees): 4.059 7.787 7.287 122.30 106.17 90.00
Atoms (fractional coordinates):
Ga1 0.872 0.372 0.745
Ga2 0.128 0.628 0.255
Al1 0.821 0.821 0.641
Al2 0.662 0.411 0.323
Al3 0.338 0.088 0.677
Al4 0.179 0.179 0.359
Al5 0.338 0.589 0.677
Al6 0.662 0.912 0.323
Al7 0.000 0.779 0.000
Al8 0.000 0.221 0.000
Tc1 0.500 0.000 0.000